Compound: RbGa3Si3
Source: Alexandria via LeMat-Bulk
Functional: PBE-GGA
Structure: relaxed

Results
VASP energy	-3.698	eV per atom
formation energy without anion corrections	0.061	eV/atom
total magnetization	0.00	μB/atom

Geometry as CIF:
```
data_RbGa3Si3
_space_group_name_H-M_alt 'P m -3 n'
_space_group_IT_number 223
_space_group_name_Hall '-P 4n 2 3'
_cell_length_a 7.018
_cell_length_b 7.018
_cell_length_c 7.018
_cell_angle_alpha 90.00
_cell_angle_beta 90.00
_cell_angle_gamma 90.00
loop_
_atom_site_label
_atom_site_fract_x
_atom_site_fract_y
_atom_site_fract_z
Rb1 0.000 0.000 0.000
Ga1 0.000 0.250 0.500
Si1 0.000 0.500 0.250
```